Record 1
{"formula": "NaSc2HgN", "functional": "PBE-GGA", "state": "optimized geometry", "lattice_angstrom": [[4.361, 0.000, 0.000], [0.000, 4.361, 0.000], [0.000, 0.000, 4.897]], "species": ["Na", "Sc", "Sc", "Hg", "N"], "frac_coords": [[0.000, 0.000, 0.000], [0.000, 0.500, 0.500], [0.500, 0.000, 0.500], [0.500, 0.500, 0.000], [0.000, 0.000, 0.500]], "total_energy_ev_per_cell": -25.979}

---

Record 2
{"formula": "NaHgSeN2", "functional": "PBE-GGA", "state": "optimized geometry", "lattice_angstrom": [[4.443, 0.000, 0.000], [0.000, 4.443, 0.000], [0.000, 0.000, 5.836]], "species": ["Na", "Hg", "Se", "N", "N"], "frac_coords": [[0.000, 0.000, 0.000], [0.500, 0.500, 0.500], [0.000, 0.000, 0.500], [0.000, 0.500, 0.000], [0.500, 0.000, 0.000]], "e_above_lowest_polymorph_mev_per_atom": 334}

---

Record 3
{"formula": "NaHgSeN2", "functional": "PBE-GGA", "state": "optimized geometry", "lattice_angstrom": [[4.425, 0.000, 0.000], [0.000, 4.425, 0.000], [0.000, 0.000, 5.598]], "species": ["Na", "Hg", "Se", "N", "N"], "frac_coords": [[0.000, 0.000, 0.000], [0.500, 0.500, 0.500], [0.500, 0.500, 0.000], [0.000, 0.500, 0.500], [0.500, 0.000, 0.500]], "e_above_lowest_polymorph_mev_per_atom": 0}

---

Record 4
{"formula": "NaHgSe2N", "functional": "PBE-GGA", "state": "optimized geometry", "lattice_angstrom": [[5.290, 0.000, 0.000], [0.000, 5.290, 0.000], [0.000, 0.000, 4.445]], "species": ["Na", "Hg", "Se", "Se", "N"], "frac_coords": [[0.000, 0.000, 0.000], [0.500, 0.500, 0.500], [0.000, 0.500, 0.000], [0.500, 0.000, 0.000], [0.000, 0.000, 0.500]], "e_above_lowest_polymorph_mev_per_atom": 406}

---

Record 5
{"formula": "NaHgSe2N", "functional": "PBE-GGA", "state": "optimized geometry", "lattice_angstrom": [[5.507, 0.000, 0.000], [0.000, 5.507, 0.000], [0.000, 0.000, 4.235]], "species": ["Na", "Hg", "Se", "Se", "N"], "frac_coords": [[0.000, 0.000, 0.000], [0.500, 0.500, 0.500], [0.000, 0.500, 0.500], [0.500, 0.000, 0.500], [0.500, 0.500, 0.000]], "e_above_lowest_polymorph_mev_per_atom": 0}

---

Record 6
{"formula": "NaSr2HgN", "functional": "PBE-GGA", "state": "optimized geometry", "lattice_angstrom": [[5.247, 0.000, 0.000], [0.000, 5.247, 0.000], [0.000, 0.000, 4.927]], "species": ["Na", "Sr", "Sr", "Hg", "N"], "frac_coords": [[0.000, 0.000, 0.000], [0.000, 0.500, 0.500], [0.500, 0.000, 0.500], [0.500, 0.500, 0.000], [0.000, 0.000, 0.500]], "total_energy_ev_per_cell": -14.928}

---

Record 7
{"formula": "NaHgTeN2", "functional": "PBE-GGA", "state": "optimized geometry", "lattice_angstrom": [[4.518, 0.000, 0.000], [0.000, 4.518, 0.000], [0.000, 0.000, 6.350]], "species": ["Na", "Hg", "Te", "N", "N"], "frac_coords": [[0.000, 0.000, 0.000], [0.500, 0.500, 0.500], [0.000, 0.000, 0.500], [0.000, 0.500, 0.000], [0.500, 0.000, 0.000]], "e_above_lowest_polymorph_mev_per_atom": 236}

---

Record 8
{"formula": "NaHgTeN2", "functional": "PBE-GGA", "state": "optimized geometry", "lattice_angstrom": [[4.492, 0.000, 0.000], [0.000, 4.492, 0.000], [0.000, 0.000, 5.960]], "species": ["Na", "Hg", "Te", "N", "N"], "frac_coords": [[0.000, 0.000, 0.000], [0.500, 0.500, 0.500], [0.500, 0.500, 0.000], [0.000, 0.500, 0.500], [0.500, 0.000, 0.500]], "e_above_lowest_polymorph_mev_per_atom": 0}

---

Number 1: total magnetization 0.00 μB per formula unit, density of states at the Fermi level 3.53 states/eV per cell. Number 2: total magnetization 5.35 μB per formula unit, density of states at the Fermi level 2.58 states/eV per cell. Number 3: total magnetization 3.91 μB per formula unit, density of states at the Fermi level 3.23 states/eV per cell. Number 4: total magnetization 3.32 μB per formula unit, density of states at the Fermi level 4.40 states/eV per cell. Number 5: total magnetization 2.91 μB per formula unit, density of states at the Fermi level 2.98 states/eV per cell. Number 6: total magnetization 0.00 μB per formula unit, density of states at the Fermi level 2.08 states/eV per cell. Number 7: total magnetization 5.33 μB per formula unit, density of states at the Fermi level 3.14 states/eV per cell. Number 8: total magnetization 3.90 μB per formula unit, density of states at the Fermi level 3.16 states/eV per cell.